Entry 1:
This record from the Alexandria database describes an optimized crystal structure of Pm12Ge2Pd5. The functional is GGA-PBE.

Cell: 7.2263 9.1764 9.4898 Å, 104.27 90.00 113.19°
Positions (direct):
Pm1 0.9670 0.9339 0.1834
Pm2 0.0786 0.6396 0.8877
Pm3 0.5610 0.6396 0.8877
Pm4 0.1004 0.7068 0.4426
Pm5 0.6064 0.7068 0.4426
Pm6 0.5009 0.0018 0.7185
Pm7 0.4991 0.9982 0.2815
Pm8 0.8996 0.2932 0.5574
Pm9 0.3936 0.2932 0.5574
Pm10 0.9214 0.3604 0.1123
Pm11 0.4390 0.3604 0.1123
Pm12 0.0330 0.0661 0.8166
Ge1 0.6856 0.0000 0.0000
Ge2 0.3144 0.0000 0.0000
Pd1 0.2915 0.5830 0.6310
Pd2 0.3205 0.6411 0.1632
Pd3 0.0000 0.0000 0.5000
Pd4 0.6795 0.3589 0.8368
Pd5 0.7085 0.4170 0.3690

Values from the calculation:
ΔE_f = -0.46 eV/atom

Entry 2:
This record from the Alexandria database describes an optimized crystal structure of Rb3Np2NiTe6. The functional is GGA-PBE.

Cell: 7.6977 7.6977 8.8694 Å, 98.36 98.36 120.02°
Positions (direct):
Rb1 0.1712 0.8288 0.5000
Rb2 0.8288 0.1712 0.5000
Rb3 0.5000 0.5000 0.5000
Np1 0.3337 0.6663 0.0000
Np2 0.6663 0.3337 0.0000
Ni1 0.0000 0.0000 0.0000
Te1 0.9375 0.6252 0.8124
Te2 0.7503 0.7503 0.1900
Te3 0.0625 0.3748 0.1876
Te4 0.6252 0.9375 0.8124
Te5 0.2497 0.2497 0.8100
Te6 0.3748 0.0625 0.1876

Values from the calculation:
Electronic total energy = -5.11 eV/atom

Entry 3:
This record from the Alexandria database describes an optimized crystal structure of Li4Pr3Cd2. The functional is GGA-PBE.

Cell: 5.0284 6.2306 8.1386 Å, 102.66 90.00 113.80°
Positions (direct):
Li1 0.7144 0.4287 0.0538
Li2 0.1327 0.2654 0.5976
Li3 0.8673 0.7346 0.4024
Li4 0.2856 0.5713 0.9462
Pr1 0.4521 0.9042 0.6769
Pr2 0.0000 0.0000 0.0000
Pr3 0.5479 0.0958 0.3231
Cd1 0.2497 0.4995 0.2946
Cd2 0.7503 0.5005 0.7054

Values from the calculation:
ΔE_f = -0.08 eV/atom

Entry 4:
This record from the Alexandria database describes an optimized crystal structure of Cd2WBr. The functional is GGA-PBE.

Cell: 5.1301 5.1301 5.1301 Å, 60.00 60.00 60.00°
Positions (direct):
Br1 0.0000 0.0000 0.0000
W1 0.5000 0.5000 0.5000
Cd1 0.2500 0.2500 0.2500
Cd2 0.7500 0.7500 0.7500

Values from the calculation:
Electronic total energy = -2.88 eV/atom

| no. | mass density (g cm⁻³) |
| --- | --- |
| 1 | 7.2 |
| 2 | 5.9 |
| 3 | 5.0 |
| 4 | 8.5 |